Entry 1:
DFT (PBE-GGA) results for a geometry-optimized Ta3Au structure.

a b c (Å): 2.9150 2.9150 9.9560
angles (deg): 90.00 90.00 120.00
Space group P-6m2 (No. 187)
Symmetry-distinct sites (fractional):
Ta1 0.0000 0.0000 0.0000 x1
Ta2 0.3333 0.6667 0.2567 x2
Au1 0.0000 0.0000 0.5000 x1

Computed properties:
energy of formation	0.150	eV/atom
calculated total energy	-0.351	hartree per atom

Entry 2:
DFT (PBE-GGA) results for a geometry-optimized Co2TeWS structure.

a b c (Å): 4.196 4.196 4.555
angles (deg): 90.00 90.00 90.00
Space group P4/mmm (No. 123)
Symmetry-distinct sites (fractional):
Co1 0.000 0.500 0.000 x2
Te1 0.000 0.000 0.500 x1
W1 0.500 0.500 0.500 x1
S1 0.500 0.500 0.000 x1

Computed properties:
uncorrected formation energy	576	meV/atom
calculated total energy	-0.232	hartree per atom

Entry 3:
DFT (PBE-GGA) results for a geometry-optimized Pm4PbSe structure.

a b c (Å): 5.688 7.490 9.096
angles (deg): 90.00 107.97 90.00
Space group P2_1/m (No. 11)
Symmetry-distinct sites (fractional):
Pm1 0.018 0.250 0.030 x2
Pm2 0.197 0.750 0.394 x2
Pm3 0.368 0.503 0.740 x4
Pb1 0.206 0.250 0.410 x2
Se1 0.499 0.750 0.004 x2

Computed properties:
uncorrected formation energy	-727	meV/atom
calculated total energy	-0.187	hartree per atom

Entry 4:
DFT (PBE-GGA) results for a geometry-optimized Nb4OsC structure.

a b c (Å): 8.014 8.614 3.116
angles (deg): 90.00 90.00 90.00
Space group Cmmm (No. 65)
Symmetry-distinct sites (fractional):
Nb1 0.000 0.240 0.000 x4
Nb2 0.182 0.500 0.500 x4
Os1 0.000 0.000 0.500 x2
C1 0.000 0.500 0.000 x2

Computed properties:
energy of formation	0.230	eV/atom
calculated total energy	-0.364	hartree per atom